1.
## Ac2Tb12Pr5 (PBE)

Data for a geometry-optimized Ac2Tb12Pr5 structure.

a = 7.2992 Å, b = 15.0393 Å, c = 16.5079 Å
α = 154.02°, β = 90.00°, γ = 104.04°
Fractional coordinates of all 19 atoms:
1 Ac 0.7510 0.0000 0.0000
2 Ac 0.2490 0.0000 0.0000
3 Tb 0.9598 0.9197 0.1184
4 Tb 0.0153 0.5538 0.9470
5 Tb 0.5386 0.5538 0.9470
6 Tb 0.0469 0.6013 0.3865
7 Tb 0.5543 0.6013 0.3865
8 Tb 0.5407 0.0814 0.8798
9 Tb 0.4593 0.9186 0.1202
10 Tb 0.9531 0.3987 0.6135
11 Tb 0.4457 0.3987 0.6135
12 Tb 0.9847 0.4462 0.0530
13 Tb 0.4614 0.4462 0.0530
14 Tb 0.0402 0.0803 0.8816
15 Pr 0.2502 0.5003 0.5008
16 Pr 0.4971 0.9942 0.3992
17 Pr 0.0000 0.0000 0.5000
18 Pr 0.5029 0.0058 0.6008
19 Pr 0.7498 0.4997 0.4992

Values from the calculation:
**Density of states at the Fermi level**: 25.79 states/eV/f.u.
**Energy**: -85.40 eV/cell


2.
## Ac2Tb3Pr4 (PBE)

Data for a geometry-optimized Ac2Tb3Pr4 structure.

a = 9.0386 Å, b = 8.8772 Å, c = 8.8868 Å
α = 90.00°, β = 90.00°, γ = 111.54°
Fractional coordinates of all 18 atoms:
1 Ac 0.5480 0.1760 0.3478
2 Ac 0.9520 0.8240 0.8478
3 Ac 0.4520 0.8240 0.6522
4 Ac 0.0480 0.1760 0.1522
5 Tb 0.0000 0.5000 0.5000
6 Tb 0.5000 0.5000 0.0000
7 Tb 0.7517 0.2488 0.8262
8 Tb 0.7483 0.7512 0.3262
9 Tb 0.2483 0.7512 0.1738
10 Tb 0.2517 0.2488 0.6738
11 Pr 0.8676 0.0857 0.5376
12 Pr 0.6324 0.9143 0.0376
13 Pr 0.1324 0.9143 0.4624
14 Pr 0.3676 0.0857 0.9624
15 Pr 0.8536 0.4843 0.1371
16 Pr 0.6464 0.5157 0.6371
17 Pr 0.1464 0.5157 0.8629
18 Pr 0.3536 0.4843 0.3629

Values from the calculation:
**Density of states at the Fermi level**: 11.35 states/eV/f.u.
**Energy above the lowest structure with this stoichiometry**: 50.7 meV per atom
**Energy**: -80.16 eV/cell


3.
## AcTb8Pr4 (PBE)

Data for a geometry-optimized AcTb8Pr4 structure.

a = 7.9327 Å, b = 7.9327 Å, c = 7.9327 Å
α = 90.11°, β = 90.11°, γ = 90.11°
Fractional coordinates of all 13 atoms:
1 Ac 0.5000 0.5000 0.5000
2 Tb 0.2364 0.7621 0.2364
3 Tb 0.7636 0.7636 0.2379
4 Tb 0.7636 0.2379 0.7636
5 Tb 0.2379 0.7636 0.7636
6 Tb 0.7631 0.7631 0.7631
7 Tb 0.2369 0.2369 0.2369
8 Tb 0.7621 0.2364 0.2364
9 Tb 0.2364 0.2364 0.7621
10 Pr 0.5000 0.0000 0.5000
11 Pr 0.0000 0.5000 0.5000
12 Pr 0.5000 0.5000 0.0000
13 Pr 0.0000 0.0000 0.0000

Values from the calculation:
**Density of states at the Fermi level**: 21.47 states/eV/f.u.
**Energy**: -53.50 eV/cell


4.
## AcTb5Pr5 (PBE)

Data for a geometry-optimized AcTb5Pr5 structure.

a = 6.2691 Å, b = 6.2691 Å, c = 11.8209 Å
α = 90.00°, β = 90.00°, γ = 120.00°
Fractional coordinates of all 11 atoms:
1 Ac 0.3333 0.6667 0.0000
2 Tb 0.3328 0.1664 0.5000
3 Tb 0.0000 0.0000 0.2664
4 Tb 0.8336 0.6672 0.5000
5 Tb 0.8336 0.1664 0.5000
6 Tb 0.0000 0.0000 0.7336
7 Pr 0.6667 0.3333 0.1604
8 Pr 0.6667 0.3333 0.8396
9 Pr 0.3333 0.6667 0.3294
10 Pr 0.3333 0.6667 0.6706
11 Pr 0.0000 0.0000 0.0000

Values from the calculation:
**Density of states at the Fermi level**: 19.86 states/eV/f.u.
**Energy**: -48.28 eV/cell


5.
## AcTb8Pr2 (PBE)

Data for a geometry-optimized AcTb8Pr2 structure.

a = 5.5810 Å, b = 8.3457 Å, c = 9.5539 Å
α = 115.89°, β = 106.98°, γ = 90.00°
Fractional coordinates of all 11 atoms:
1 Ac 0.5000 0.0000 0.0000
2 Tb 0.6435 0.8474 0.2870
3 Tb 0.3565 0.5604 0.7131
4 Tb 0.1599 0.1599 0.3197
5 Tb 0.0000 0.2965 0.0000
6 Tb 0.8401 0.8401 0.6803
7 Tb 0.6435 0.4396 0.2869
8 Tb 0.3565 0.1526 0.7130
9 Tb 0.0000 0.7035 0.0000
10 Pr 0.1998 0.6997 0.3995
11 Pr 0.8002 0.3003 0.6005

Values from the calculation:
**Density of states at the Fermi level**: 15.06 states/eV/f.u.
**Energy above the lowest structure with this stoichiometry**: 0.0 meV per atom
**Energy**: -49.27 eV/cell


6.
## AcTbPr4 (PBE)

Data for a geometry-optimized AcTbPr4 structure.

a = 4.8341 Å, b = 4.8342 Å, c = 10.9789 Å
α = 90.00°, β = 90.00°, γ = 90.00°
Fractional coordinates of all 6 atoms:
1 Ac 0.9973 0.0013 0.5019
2 Tb 0.4973 0.5013 0.0019
3 Pr 0.9973 0.5013 0.7733
4 Pr 0.9972 0.5013 0.2305
5 Pr 0.4973 0.0013 0.2305
6 Pr 0.4973 0.0013 0.7733

Values from the calculation:
**Density of states at the Fermi level**: 11.00 states/eV/f.u.
**Energy above the lowest structure with this stoichiometry**: 0.0 meV per atom
**Energy**: -25.09 eV/cell


7.
## AcTb7Pr4 (PBE)

Data for a geometry-optimized AcTb7Pr4 structure.

a = 7.3506 Å, b = 6.3703 Å, c = 11.6748 Å
α = 79.52°, β = 51.09°, γ = 89.99°
Fractional coordinates of all 12 atoms:
1 Ac 0.0000 0.0000 0.0000
2 Tb 0.7499 0.4998 0.9989
3 Tb 0.2501 0.5002 0.0011
4 Tb 0.0837 0.2787 0.6661
5 Tb 0.9163 0.7213 0.3339
6 Tb 0.3344 0.7763 0.6647
7 Tb 0.5000 0.0000 0.0000
8 Tb 0.6656 0.2237 0.3353
9 Pr 0.4131 0.7202 0.3359
10 Pr 0.5869 0.2798 0.6641
11 Pr 0.8304 0.7777 0.6691
12 Pr 0.1696 0.2223 0.3309

Values from the calculation:
**Density of states at the Fermi level**: 16.76 states/eV/f.u.
**Energy above the lowest structure with this stoichiometry**: 0.0 meV per atom
**Energy**: -55.36 eV/cell


8.
## Ac3Tb2Pr7 (PBE)

Data for a geometry-optimized Ac3Tb2Pr7 structure.

a = 3.8145 Å, b = 5.9091 Å, c = 21.1392 Å
α = 90.00°, β = 95.22°, γ = 90.00°
Fractional coordinates of all 12 atoms:
1 Ac 0.5000 0.5000 0.0000
2 Ac 0.8212 0.0000 0.6472
3 Ac 0.1788 0.0000 0.3528
4 Tb 0.3570 0.5000 0.7198
5 Tb 0.6430 0.5000 0.2802
6 Pr 0.2822 0.5000 0.5643
7 Pr 0.7178 0.5000 0.4357
8 Pr 0.4092 0.0000 0.8234
9 Pr 0.0000 0.0000 0.0000
10 Pr 0.5908 0.0000 0.1766
11 Pr 0.0730 0.5000 0.1424
12 Pr 0.9270 0.5000 0.8576

Values from the calculation:
**Density of states at the Fermi level**: 18.54 states/eV/f.u.
**Energy**: -52.54 eV/cell


9.
## AcTb2Pr7 (PBE)

Data for a geometry-optimized AcTb2Pr7 structure.

a = 6.4457 Å, b = 9.8307 Å, c = 6.4185 Å
α = 109.09°, β = 99.57°, γ = 102.72°
Fractional coordinates of all 10 atoms:
1 Ac 0.0000 0.0000 0.0000
2 Tb 0.7965 0.5955 0.5968
3 Tb 0.2035 0.4045 0.4032
4 Pr 0.0961 0.6956 0.2025
5 Pr 0.9039 0.3044 0.7975
6 Pr 0.3951 0.7927 0.7950
7 Pr 0.6049 0.2073 0.2050
8 Pr 0.6940 0.8966 0.3989
9 Pr 0.3060 0.1034 0.6011
10 Pr 0.5000 0.5000 0.0000

Values from the calculation:
**Density of states at the Fermi level**: 17.76 states/eV/f.u.
**Energy above the lowest structure with this stoichiometry**: 0.0 meV per atom
**Energy**: -46.58 eV/cell


10.
## AcTb2Pr2 (PBE)

Data for a geometry-optimized AcTb2Pr2 structure.

a = 6.0663 Å, b = 6.0663 Å, c = 6.6669 Å
α = 117.07°, β = 117.06°, γ = 90.00°
Fractional coordinates of all 5 atoms:
1 Ac 0.5000 0.0000 0.5000
2 Tb 0.7500 0.7498 0.0000
3 Tb 0.2500 0.2502 0.0000
4 Pr 0.8569 0.3567 0.2137
5 Pr 0.1431 0.6433 0.7863

Values from the calculation:
**Density of states at the Fermi level**: 6.70 states/eV/f.u.
**Energy above the lowest structure with this stoichiometry**: 347.7 meV per atom
**Energy**: -21.01 eV/cell


11.
## Ac12Tb6Pr (PBE)

Data for a geometry-optimized Ac12Tb6Pr structure.

a = 9.8530 Å, b = 9.8530 Å, c = 9.8530 Å
α = 106.57°, β = 106.57°, γ = 106.57°
Fractional coordinates of all 19 atoms:
1 Ac 0.4802 0.1911 0.5781
2 Ac 0.1911 0.5781 0.4802
3 Ac 0.5781 0.4802 0.1911
4 Ac 0.5198 0.8089 0.4219
5 Ac 0.8089 0.4219 0.5198
6 Ac 0.4219 0.5198 0.8089
7 Ac 0.2720 0.1298 0.8311
8 Ac 0.1689 0.7280 0.8702
9 Ac 0.8702 0.1689 0.7280
10 Ac 0.7280 0.8702 0.1689
11 Ac 0.8311 0.2720 0.1298
12 Ac 0.1298 0.8311 0.2720
13 Tb 0.0746 0.1885 0.4648
14 Tb 0.8115 0.5352 0.9254
15 Tb 0.5352 0.9254 0.8115
16 Tb 0.9254 0.8115 0.5352
17 Tb 0.1885 0.4648 0.0746
18 Tb 0.4648 0.0746 0.1885
19 Pr 0.0000 0.0000 0.0000

Values from the calculation:
**Density of states at the Fermi level**: 28.08 states/eV/f.u.
**Energy**: -76.86 eV/cell


12.
## Ac4Tb3Pr (PBE)

Data for a geometry-optimized Ac4Tb3Pr structure.

a = 3.6879 Å, b = 9.4310 Å, c = 9.4310 Å
α = 79.42°, β = 78.72°, γ = 78.72°
Fractional coordinates of all 8 atoms:
1 Pr 0.5000 0.0000 0.0000
2 Ac 0.6313 0.1227 0.6146
3 Ac 0.3687 0.8773 0.3854
4 Ac 0.3687 0.3854 0.8773
5 Ac 0.6313 0.6146 0.1227
6 Tb 0.7711 0.2289 0.2289
7 Tb 0.2289 0.7711 0.7711
8 Tb 0.0000 0.5000 0.5000

Values from the calculation:
**Density of states at the Fermi level**: 13.91 states/eV/f.u.
**Energy**: -33.77 eV/cell


Energy relative to the elements values, unit eV per atom, following the record order: 0.120, 0.127, 0.521, 0.262, 0.131, 0.461, 0.023, 0.209, 0.025, 0.384, 0.263, 0.166.